1.
The following is a DFT calculation (PBE) of a geometry-optimized TmTl4Bi3S8 structure.

Output
As for the symmetry: R-3m. Its spin magnetization is 0.00 μB/cell. Its crystal system is trigonal. The uncorrected energy comes out at -4.3476 eV/atom.

Cell: 8.837 8.837 8.837 Å, 55.44 55.44 55.44°
Element x y z (fractional)
Tm 0.000 0.000 0.000
Tl 0.000 0.000 0.500
Tl 0.000 0.500 0.000
Tl 0.500 0.000 0.000
Tl 0.500 0.500 0.500
Bi 0.000 0.500 0.500
Bi 0.500 0.000 0.500
Bi 0.500 0.500 0.000
S 0.229 0.229 0.746
S 0.229 0.746 0.229
S 0.254 0.771 0.771
S 0.263 0.263 0.263
S 0.737 0.737 0.737
S 0.746 0.229 0.229
S 0.771 0.254 0.771
S 0.771 0.771 0.254


2.
The following is a DFT calculation (PBE) of a geometry-optimized MnPBr2 structure.

Output
The calculation puts the energy relative to the lowest polymorph listed for this composition at 219.2 meV per atom. As for the symmetry: Immm. Its spin magnetization is 3.52 μB/cell. Its crystal system is orthorhombic. The uncorrected energy comes out at -4.4750 eV/atom.

Cell: 8.379 8.379 8.379 Å, 155.71 155.56 34.73°
Element x y z (fractional)
Mn 0.000 0.000 0.000
P 0.500 0.500 0.000
Br 0.359 0.859 0.500
Br 0.641 0.141 0.500


3.
The following is a DFT calculation (PBE) of a geometry-optimized TbSm4DySe8 structure.

Output
As for the symmetry: R3m. Its spin magnetization is 0.00 μB/cell. Its crystal system is trigonal. The uncorrected energy comes out at -5.7232 eV/atom.

Cell: 8.536 8.536 8.536 Å, 60.13 60.13 60.13°
Element x y z (fractional)
Tb 0.000 0.000 0.000
Sm 0.123 0.625 0.625
Sm 0.248 0.248 0.248
Sm 0.625 0.123 0.625
Sm 0.625 0.625 0.123
Dy 0.625 0.625 0.625
Se 0.381 0.381 0.381
Se 0.386 0.386 0.849
Se 0.386 0.849 0.386
Se 0.394 0.864 0.864
Se 0.849 0.386 0.386
Se 0.864 0.394 0.864
Se 0.864 0.864 0.394
Se 0.869 0.869 0.869


4.
The following is a DFT calculation (PBE) of a geometry-optimized Tb5Sm2 structure.

Output
The calculation puts the energy relative to the lowest polymorph listed for this composition at 103.5 meV per atom. As for the symmetry: P4/mbm. Its spin magnetization is 0.00 μB/cell. The calculation puts the formation energy at 0.247 eV per atom. Its crystal system is tetragonal. The uncorrected energy comes out at -4.4085 eV/atom.

Cell: 11.753 11.753 3.403 Å, 90.00 90.00 90.00°
Element x y z (fractional)
Tb 0.000 0.500 0.000
Tb 0.047 0.200 0.000
Tb 0.200 0.953 0.000
Tb 0.300 0.453 0.000
Tb 0.453 0.700 0.000
Tb 0.500 0.000 0.000
Tb 0.547 0.300 0.000
Tb 0.700 0.547 0.000
Tb 0.800 0.047 0.000
Tb 0.953 0.800 0.000
Sm 0.190 0.690 0.500
Sm 0.310 0.190 0.500
Sm 0.690 0.810 0.500
Sm 0.810 0.310 0.500


Per-record calculated density, g/cm³: 7.12 4.08 5.85 7.74